# 1
# Ho2ErPd4 | Alexandria via LeMat-Bulk | GGA-PBE | optimized geometry
data_Ho2ErPd4
_space_group_name_H-M_alt 'C 1 2/m 1'
_space_group_IT_number 12
_cell_length_a 8.783
_cell_length_b 5.671
_cell_length_c 7.143
_cell_angle_alpha 90.00
_cell_angle_beta 102.33
_cell_angle_gamma 90.00
loop_
_space_group_symop_operation_xyz
'x,y,z'
'-x,-y,-z'
'-x,y,-z'
'x,-y,z'
'x+1/2,y+1/2,z'
'-x+1/2,-y+1/2,-z'
'-x+1/2,y+1/2,-z'
'x+1/2,-y+1/2,z'
loop_
_atom_site_label
_atom_site_fract_x
_atom_site_fract_y
_atom_site_fract_z
_atom_site_occupancy
Ho1 0.110 0.000 0.289 1
Er1 0.000 0.500 0.000 1
Pd1 0.247 0.000 0.666 1
Pd2 0.250 0.250 0.000 1
# energy relative to the elements = -493 meV per atom


# 2
# Ho3ErPd2 | Alexandria via LeMat-Bulk | GGA-PBE | optimized geometry
data_Ho3ErPd2
_space_group_name_H-M_alt 'I b a m'
_space_group_IT_number 72
_space_group_name_Hall '-I 2 2c'
_cell_length_a 6.873
_cell_length_b 13.596
_cell_length_c 7.088
_cell_angle_alpha 90.00
_cell_angle_beta 90.00
_cell_angle_gamma 90.00
loop_
_atom_site_label
_atom_site_fract_x
_atom_site_fract_y
_atom_site_fract_z
_atom_site_occupancy
Ho1 0.000 0.000 0.250 1
Ho2 0.000 0.267 0.250 1
Er1 0.000 0.500 0.000 1
Pd1 0.209 0.140 0.000 1
# energy relative to the elements = -513 meV per atom
# energy above the most stable polymorph in this dataset = 97 meV/atom


# 3
# Ho2ErPd2 | Alexandria via LeMat-Bulk | GGA-PBE | optimized geometry
data_Ho2ErPd2
_space_group_name_H-M_alt 'P 4/m b m'
_space_group_IT_number 127
_space_group_name_Hall '-P 4 2ab'
_cell_length_a 7.734
_cell_length_b 7.734
_cell_length_c 3.956
_cell_angle_alpha 90.00
_cell_angle_beta 90.00
_cell_angle_gamma 90.00
loop_
_atom_site_label
_atom_site_fract_x
_atom_site_fract_y
_atom_site_fract_z
_atom_site_occupancy
Ho1 0.165 0.335 0.000 1
Er1 0.000 0.000 0.500 1
Pd1 0.134 0.634 0.500 1
# energy relative to the elements = -752 meV per atom


# 4
# Ho2Er2Pd3 | Alexandria via LeMat-Bulk | GGA-PBE | optimized geometry
data_Ho2Er2Pd3
_space_group_name_H-M_alt 'P -1'
_space_group_IT_number 2
_cell_length_a 4.912
_cell_length_b 4.912
_cell_length_c 7.713
_cell_angle_alpha 108.46
_cell_angle_beta 108.29
_cell_angle_gamma 90.08
loop_
_space_group_symop_operation_xyz
'x,y,z'
'-x,-y,-z'
loop_
_atom_site_label
_atom_site_fract_x
_atom_site_fract_y
_atom_site_fract_z
_atom_site_occupancy
Ho1 0.128 0.126 0.251 1
Er1 0.372 0.374 0.749 1
Pd1 0.000 0.500 0.000 1
Pd2 0.254 0.756 0.511 1
# energy relative to the elements = -736 meV per atom


# 5
# Ho4Er3Pd4 | Alexandria via LeMat-Bulk | GGA-PBE | optimized geometry
data_Ho4Er3Pd4
_space_group_name_H-M_alt 'I m m m'
_space_group_IT_number 71
_space_group_name_Hall '-I 2 2'
_cell_length_a 3.805
_cell_length_b 9.066
_cell_length_c 15.809
_cell_angle_alpha 90.00
_cell_angle_beta 90.00
_cell_angle_gamma 90.00
loop_
_atom_site_label
_atom_site_fract_x
_atom_site_fract_y
_atom_site_fract_z
_atom_site_occupancy
Ho1 0.000 0.186 0.162 1
Er1 0.000 0.000 0.394 1
Er2 0.000 0.500 0.500 1
Pd1 0.000 0.325 0.000 1
Pd2 0.000 0.500 0.251 1
# energy relative to the elements = -606 meV per atom


# 6
# Ho2Er3Pd4 | Alexandria via LeMat-Bulk | GGA-PBE | optimized geometry
data_Ho2Er3Pd4
_space_group_name_H-M_alt 'C m c e'
_space_group_IT_number 64
_space_group_name_Hall '-C 2ac 2'
_cell_length_a 6.612
_cell_length_b 17.363
_cell_length_c 7.325
_cell_angle_alpha 90.00
_cell_angle_beta 90.00
_cell_angle_gamma 90.00
loop_
_atom_site_label
_atom_site_fract_x
_atom_site_fract_y
_atom_site_fract_z
_atom_site_occupancy
Ho1 0.000 0.095 0.084 1
Er1 0.000 0.000 0.500 1
Er2 0.250 0.233 0.750 1
Pd1 0.000 0.166 0.461 1
Pd2 0.250 0.069 0.750 1
# energy relative to the elements = -715 meV per atom


# 7
# Ho3ErPd2 | Alexandria via LeMat-Bulk | GGA-PBE | optimized geometry
data_Ho3ErPd2
_space_group_name_H-M_alt 'P m c 21'
_space_group_IT_number 26
_cell_length_a 3.747
_cell_length_b 9.699
_cell_length_c 8.465
_cell_angle_alpha 90.00
_cell_angle_beta 90.00
_cell_angle_gamma 90.00
loop_
_space_group_symop_operation_xyz
'x,y,z'
'-x,-y,z+1/2'
'-x,y,z'
'x,-y,z+1/2'
loop_
_atom_site_label
_atom_site_fract_x
_atom_site_fract_y
_atom_site_fract_z
_atom_site_occupancy
Ho1 0.000 0.066 0.000 1
Ho2 0.000 0.285 0.340 1
Ho3 0.500 0.216 0.680 1
Er1 0.500 0.435 0.020 1
Pd1 0.000 0.427 0.747 1
Pd2 0.500 0.073 0.274 1
# energy relative to the elements = -610 meV per atom
# energy above the most stable polymorph in this dataset = 0 meV/atom


# 8
# HoErPd14 | Alexandria via LeMat-Bulk | GGA-PBE | optimized geometry
data_HoErPd14
_space_group_name_H-M_alt 'P 4/m m m'
_space_group_IT_number 123
_space_group_name_Hall '-P 4 2'
_cell_length_a 5.733
_cell_length_b 5.733
_cell_length_c 7.992
_cell_angle_alpha 90.00
_cell_angle_beta 90.00
_cell_angle_gamma 90.00
loop_
_atom_site_label
_atom_site_fract_x
_atom_site_fract_y
_atom_site_fract_z
_atom_site_occupancy
Ho1 0.000 0.000 0.000 1
Er1 0.500 0.500 0.000 1
Pd1 0.000 0.000 0.500 1
Pd2 0.000 0.500 0.000 1
Pd3 0.000 0.500 0.500 1
Pd4 0.250 0.250 0.257 1
Pd5 0.500 0.500 0.500 1
# energy relative to the elements = -426 meV per atom


# 9
# HoErPd6 | Alexandria via LeMat-Bulk | GGA-PBE | optimized geometry
data_HoErPd6
_space_group_name_H-M_alt 'P 4/m m m'
_space_group_IT_number 123
_space_group_name_Hall '-P 4 2'
_cell_length_a 4.109
_cell_length_b 4.109
_cell_length_c 8.219
_cell_angle_alpha 90.00
_cell_angle_beta 90.00
_cell_angle_gamma 90.00
loop_
_atom_site_label
_atom_site_fract_x
_atom_site_fract_y
_atom_site_fract_z
_atom_site_occupancy
Ho1 0.000 0.000 0.000 1
Er1 0.000 0.000 0.500 1
Pd1 0.000 0.500 0.251 1
Pd2 0.500 0.500 0.000 1
Pd3 0.500 0.500 0.500 1
# energy relative to the elements = -890 meV per atom


# 10
# Ho4ErPd2 | Alexandria via LeMat-Bulk | GGA-PBE | optimized geometry
data_Ho4ErPd2
_space_group_name_H-M_alt 'P 1 21/m 1'
_space_group_IT_number 11
_cell_length_a 7.790
_cell_length_b 6.313
_cell_length_c 8.073
_cell_angle_alpha 90.00
_cell_angle_beta 112.68
_cell_angle_gamma 90.00
loop_
_space_group_symop_operation_xyz
'x,y,z'
'-x,-y,-z'
'-x,y+1/2,-z'
'x,-y+1/2,z'
loop_
_atom_site_label
_atom_site_fract_x
_atom_site_fract_y
_atom_site_fract_z
_atom_site_occupancy
Ho1 0.021 0.250 0.392 1
Ho2 0.244 0.750 0.347 1
Ho3 0.408 0.004 0.772 1
Er1 0.156 0.250 0.027 1
Pd1 0.233 0.750 0.990 1
Pd2 0.382 0.250 0.419 1
# energy relative to the elements = -447 meV per atom
# energy above the most stable polymorph in this dataset = 0 meV/atom


# 11
# HoErPd2 | Alexandria via LeMat-Bulk | GGA-PBE | optimized geometry
data_HoErPd2
_space_group_name_H-M_alt 'R -3 m'
_space_group_IT_number 166
_space_group_name_Hall '-R 3 2"'
_cell_length_a 4.0654
_cell_length_b 4.0654
_cell_length_c 19.7444
_cell_angle_alpha 90.00
_cell_angle_beta 90.00
_cell_angle_gamma 120.00
loop_
_atom_site_label
_atom_site_fract_x
_atom_site_fract_y
_atom_site_fract_z
_atom_site_occupancy
Ho1 0.0000 0.0000 0.0000 1
Er1 0.0000 0.0000 0.5000 1
Pd1 0.0000 0.0000 0.2494 1
# energy relative to the elements = -749 meV per atom
# energy above the most stable polymorph in this dataset = 188 meV/atom


# 12
# HoEr4Pd5 | Alexandria via LeMat-Bulk | GGA-PBE | optimized geometry
data_HoEr4Pd5
_space_group_name_H-M_alt 'P 4/m m m'
_space_group_IT_number 123
_space_group_name_Hall '-P 4 2'
_cell_length_a 3.452
_cell_length_b 3.452
_cell_length_c 17.697
_cell_angle_alpha 90.00
_cell_angle_beta 90.00
_cell_angle_gamma 90.00
loop_
_atom_site_label
_atom_site_fract_x
_atom_site_fract_y
_atom_site_fract_z
_atom_site_occupancy
Ho1 0.000 0.000 0.000 1
Er1 0.000 0.000 0.201 1
Er2 0.000 0.000 0.400 1
Pd1 0.500 0.500 0.101 1
Pd2 0.500 0.500 0.300 1
Pd3 0.500 0.500 0.500 1
# energy relative to the elements = -911 meV per atom


# 13
# HoEr4Pd4 | Alexandria via LeMat-Bulk | GGA-PBE | optimized geometry
data_HoEr4Pd4
_space_group_name_H-M_alt 'P 42/n'
_space_group_IT_number 86
_cell_length_a 8.911
_cell_length_b 8.911
_cell_length_c 5.727
_cell_angle_alpha 90.00
_cell_angle_beta 90.00
_cell_angle_gamma 90.00
loop_
_space_group_symop_operation_xyz
'x,y,z'
'-x,-y,-z'
'-y,x+1/2,z+1/2'
'y,-x+1/2,-z+1/2'
'-x+1/2,-y+1/2,z'
'x+1/2,y+1/2,-z'
'y+1/2,-x,z+1/2'
'-y+1/2,x,-z+1/2'
loop_
_atom_site_label
_atom_site_fract_x
_atom_site_fract_y
_atom_site_fract_z
_atom_site_occupancy
Ho1 0.250 0.250 0.250 1
Er1 0.072 0.658 0.160 1
Pd1 0.032 0.626 0.657 1
# energy relative to the elements = -692 meV per atom


# 14
# HoEr2Pd8 | Alexandria via LeMat-Bulk | GGA-PBE | optimized geometry
data_HoEr2Pd8
_space_group_name_H-M_alt 'C 1 2/m 1'
_space_group_IT_number 12
_cell_length_a 14.776
_cell_length_b 4.190
_cell_length_c 6.735
_cell_angle_alpha 90.00
_cell_angle_beta 108.42
_cell_angle_gamma 90.00
loop_
_space_group_symop_operation_xyz
'x,y,z'
'-x,-y,-z'
'-x,y,-z'
'x,-y,z'
'x+1/2,y+1/2,z'
'-x+1/2,-y+1/2,-z'
'-x+1/2,y+1/2,-z'
'x+1/2,-y+1/2,z'
loop_
_atom_site_label
_atom_site_fract_x
_atom_site_fract_y
_atom_site_fract_z
_atom_site_occupancy
Ho1 0.000 0.000 0.000 1
Er1 0.218 0.500 0.666 1
Pd1 0.038 0.500 0.718 1
Pd2 0.092 0.000 0.452 1
Pd3 0.142 0.500 0.182 1
Pd4 0.177 0.000 0.907 1
# energy relative to the elements = -789 meV per atom


# 15
# Ho6ErPd2 | Alexandria via LeMat-Bulk | GGA-PBE | optimized geometry
data_Ho6ErPd2
_space_group_name_H-M_alt 'C 1 2/m 1'
_space_group_IT_number 12
_cell_length_a 15.976
_cell_length_b 3.664
_cell_length_c 10.718
_cell_angle_alpha 90.00
_cell_angle_beta 129.10
_cell_angle_gamma 90.00
loop_
_space_group_symop_operation_xyz
'x,y,z'
'-x,-y,-z'
'-x,y,-z'
'x,-y,z'
'x+1/2,y+1/2,z'
'-x+1/2,-y+1/2,-z'
'-x+1/2,y+1/2,-z'
'x+1/2,-y+1/2,z'
loop_
_atom_site_label
_atom_site_fract_x
_atom_site_fract_y
_atom_site_fract_z
_atom_site_occupancy
Ho1 0.033 0.000 0.190 1
Ho2 0.193 0.500 0.554 1
Ho3 0.213 0.500 0.110 1
Er1 0.000 0.000 0.500 1
Pd1 0.094 0.500 0.764 1
# energy relative to the elements = -386 meV per atom


# 16
# Ho4ErPd2 | Alexandria via LeMat-Bulk | GGA-PBE | optimized geometry
data_Ho4ErPd2
_space_group_name_H-M_alt 'R -3 m'
_space_group_IT_number 166
_space_group_name_Hall '-R 3 2"'
_cell_length_a 3.9309
_cell_length_b 3.9309
_cell_length_c 44.8383
_cell_angle_alpha 90.00
_cell_angle_beta 90.00
_cell_angle_gamma 120.00
loop_
_atom_site_label
_atom_site_fract_x
_atom_site_fract_y
_atom_site_fract_z
_atom_site_occupancy
Ho1 0.0000 0.0000 0.1049 1
Ho2 0.0000 0.0000 0.3019 1
Er1 0.0000 0.0000 0.5000 1
Pd1 0.0000 0.0000 0.4014 1
# energy relative to the elements = -355 meV per atom
# energy above the most stable polymorph in this dataset = 92 meV/atom


# 17
# HoEr2Pd4 | Alexandria via LeMat-Bulk | GGA-PBE | optimized geometry
data_HoEr2Pd4
_space_group_name_H-M_alt 'C 1 2/m 1'
_space_group_IT_number 12
_cell_length_a 9.355
_cell_length_b 5.561
_cell_length_c 7.426
_cell_angle_alpha 90.00
_cell_angle_beta 119.17
_cell_angle_gamma 90.00
loop_
_space_group_symop_operation_xyz
'x,y,z'
'-x,-y,-z'
'-x,y,-z'
'x,-y,z'
'x+1/2,y+1/2,z'
'-x+1/2,-y+1/2,-z'
'-x+1/2,y+1/2,-z'
'x+1/2,-y+1/2,z'
loop_
_atom_site_label
_atom_site_fract_x
_atom_site_fract_y
_atom_site_fract_z
_atom_site_occupancy
Ho1 0.000 0.000 0.000 1
Er1 0.240 0.000 0.648 1
Pd1 0.155 0.500 0.642 1
Pd2 0.250 0.250 0.000 1
# energy relative to the elements = -570 meV per atom


# 18
# HoEr3Pd12 | Alexandria via LeMat-Bulk | GGA-PBE | optimized geometry
data_HoEr3Pd12
_space_group_name_H-M_alt 'P 4/m m m'
_space_group_IT_number 123
_space_group_name_Hall '-P 4 2'
_cell_length_a 4.099
_cell_length_b 4.099
_cell_length_c 16.483
_cell_angle_alpha 90.00
_cell_angle_beta 90.00
_cell_angle_gamma 90.00
loop_
_atom_site_label
_atom_site_fract_x
_atom_site_fract_y
_atom_site_fract_z
_atom_site_occupancy
Ho1 0.000 0.000 0.000 1
Er1 0.000 0.000 0.250 1
Er2 0.000 0.000 0.500 1
Pd1 0.000 0.500 0.126 1
Pd2 0.000 0.500 0.375 1
Pd3 0.500 0.500 0.000 1
Pd4 0.500 0.500 0.250 1
Pd5 0.500 0.500 0.500 1
# energy relative to the elements = -897 meV per atom


# 19
# Ho5ErPd2 | Alexandria via LeMat-Bulk | GGA-PBE | optimized geometry
data_Ho5ErPd2
_space_group_name_H-M_alt 'C m c m'
_space_group_IT_number 63
_space_group_name_Hall '-C 2c 2'
_cell_length_a 3.746
_cell_length_b 13.103
_cell_length_c 18.185
_cell_angle_alpha 90.00
_cell_angle_beta 90.00
_cell_angle_gamma 90.00
loop_
_atom_site_label
_atom_site_fract_x
_atom_site_fract_y
_atom_site_fract_z
_atom_site_occupancy
Ho1 0.000 0.054 0.088 1
Ho2 0.000 0.331 0.055 1
Ho3 0.000 0.441 0.750 1
Er1 0.000 0.288 0.250 1
Pd1 0.000 0.288 0.637 1
# energy relative to the elements = -380 meV per atom


# 20
# Ho3Er2Pd2 | Alexandria via LeMat-Bulk | GGA-PBE | optimized geometry
data_Ho3Er2Pd2
_space_group_name_H-M_alt 'C 1 2/m 1'
_space_group_IT_number 12
_cell_length_a 12.291
_cell_length_b 3.685
_cell_length_c 9.024
_cell_angle_alpha 90.00
_cell_angle_beta 116.60
_cell_angle_gamma 90.00
loop_
_space_group_symop_operation_xyz
'x,y,z'
'-x,-y,-z'
'-x,y,-z'
'x,-y,z'
'x+1/2,y+1/2,z'
'-x+1/2,-y+1/2,-z'
'-x+1/2,y+1/2,-z'
'x+1/2,-y+1/2,z'
loop_
_atom_site_label
_atom_site_fract_x
_atom_site_fract_y
_atom_site_fract_z
_atom_site_occupancy
Ho1 0.000 0.000 0.000 1
Ho2 0.113 0.000 0.440 1
Er1 0.158 0.500 0.814 1
Pd1 0.172 0.500 0.235 1
# energy relative to the elements = -534 meV per atom
# energy above the most stable polymorph in this dataset = 0 meV/atom


# 21
# Ho4ErPd5 | Alexandria via LeMat-Bulk | GGA-PBE | optimized geometry
data_Ho4ErPd5
_space_group_name_H-M_alt 'P 4/m m m'
_space_group_IT_number 123
_space_group_name_Hall '-P 4 2'
_cell_length_a 3.460
_cell_length_b 3.460
_cell_length_c 17.761
_cell_angle_alpha 90.00
_cell_angle_beta 90.00
_cell_angle_gamma 90.00
loop_
_atom_site_label
_atom_site_fract_x
_atom_site_fract_y
_atom_site_fract_z
_atom_site_occupancy
Ho1 0.000 0.000 0.100 1
Ho2 0.000 0.000 0.301 1
Er1 0.000 0.000 0.500 1
Pd1 0.500 0.500 0.000 1
Pd2 0.500 0.500 0.200 1
Pd3 0.500 0.500 0.401 1
# energy relative to the elements = -900 meV per atom